## PaZnNiO6 (GGA+U)

Data for crystalline PaZnNiO6 at its relaxed geometry.

The structure in CIF format:
```
data_PaZnNiO6
_cell_length_a 5.0450
_cell_length_b 5.0450
_cell_length_c 4.7362
_cell_angle_alpha 90.00
_cell_angle_beta 90.00
_cell_angle_gamma 120.00
_space_group_name_H-M_alt 'P 3 1 2'
_space_group_IT_number 149
loop_
_space_group_symop_operation_xyz
'x,y,z'
'-y,x-y,z'
'-x+y,-x,z'
'-y,-x,-z'
'-x+y,y,-z'
'x,x-y,-z'
loop_
_atom_site_label
_atom_site_type_symbol
_atom_site_fract_x
_atom_site_fract_y
_atom_site_fract_z
Pa1 Pa 0.0000 0.0000 0.0000
Zn1 Zn 0.6667 0.3333 0.5000
Ni1 Ni 0.3333 0.6667 0.5000
O1 O 0.0262 0.3619 0.7273
```

Values from the calculation:
For the electronic total energy, the calculation gives -58.14 eV/f.u.